The following is a PBE calculation of an optimized crystal structure of ReSi2Br, from Alexandria.

Polymorph energy (0 for the lowest one) (meV per atom): 234
Crystal system: tetragonal
Final energy (eV for the cell shown): -23.4
E_form (uncorrected) (eV/atom): 0.39

Lattice parameters (Å, degrees): 3.1447 3.1447 7.6366 90.00 90.00 90.00
With the nearest neighbours (Å) after each atom.
Space group P4mm (No. 99)
Asymmetric unit:
Re 0.0000 0.0000 0.0000 x1  5 Si 2.51-2.52
Si 0.0000 0.0000 0.3287 x1  1 Re 2.51, 4 Si 2.59
Si 0.5000 0.5000 0.1549 x1  4 Re 2.52, 4 Si 2.59
Br 0.5000 0.5000 0.7495 x1  4 Re 2.93, 1 Si 3.10, 4 Br 3.14